(1)
# HgTePb2

A relaxed HgTePb2 crystal (PBE-GGA, the Alexandria database).

Computed properties:
Offset from the most stable computed form in meV per atom: 22
Space group: No. 123
Total magnetization in μB per formula unit: 0.000
Density in g/cm³: 10.146

Geometry as POSCAR:
```
HgTePb2
1.0
5.314 0.000 0.000
0.000 5.314 0.000
0.000 0.000 4.303
Hg Te Pb
1 1 2
Direct
0.000 0.000 0.000
0.500 0.500 0.000
0.000 0.500 0.500
0.500 0.000 0.500
```



(2)
# HgTe6Pb5

A relaxed HgTe6Pb5 crystal (PBE-GGA, the Alexandria database).

Computed properties:
Space group: No. 12
Total magnetization in μB per formula unit: 0.000
Density in g/cm³: 8.105

Geometry as POSCAR:
```
HgTe6Pb5
1.0
3.973 -6.882 0.000
3.973 6.882 0.000
-2.664 0.000 7.501
Hg Te Pb
1 6 5
Direct
0.000 0.000 0.000
0.080 0.404 0.243
0.242 0.242 0.751
0.404 0.080 0.243
0.596 0.920 0.757
0.758 0.758 0.249
0.920 0.596 0.757
0.171 0.829 0.500
0.335 0.665 0.000
0.500 0.500 0.500
0.665 0.335 0.000
0.829 0.171 0.500
```



Respective E_tot values: -2.7910; -3.4612 eV/atom.